Entry 1:
# GdTlGe4

An optimized crystal structure of GdTlGe4 (GGA-PBE, Alexandria via LeMat-Bulk).

- DOS at the Fermi energy: 0.693 states/eV per atom
- Volume: 522.8 Å³ per cell
- Size of the total moment: 1.1968 μB/atom
- Formation energy from the elements: -0.1533 eV/atom

Cell and atoms, written as CIF:
```
data_GdTlGe4
_chemical_formula_sum 'Gd4 Tl4 Ge16'
_space_group_name_H-M_alt 'F -4 3 m'
_space_group_IT_number 216
_space_group_name_Hall 'F -4 2 3'
_cell_length_a 8.056
_cell_length_b 8.056
_cell_length_c 8.056
_cell_angle_alpha 90.00
_cell_angle_beta 90.00
_cell_angle_gamma 90.00
loop_
_atom_site_label
_atom_site_type_symbol
_atom_site_fract_x
_atom_site_fract_y
_atom_site_fract_z
Gd1 Gd 0.000 0.000 0.000
Tl1 Tl 0.250 0.250 0.750
Ge1 Ge 0.126 0.126 0.374
```

---

Entry 2:
# LiSmNi4

An optimized crystal structure of LiSmNi4 (GGA-PBE, Alexandria via LeMat-Bulk).

- DOS at the Fermi energy: 0.953 states/eV per atom
- Volume: 339.9 Å³ per cell
- Size of the total moment: 0.0000 μB/atom
- Formation energy from the elements: -0.2942 eV/atom

Cell and atoms, written as CIF:
```
data_LiSmNi4
_chemical_formula_sum 'Li4 Sm4 Ni16'
_space_group_name_H-M_alt 'F -4 3 m'
_space_group_IT_number 216
_space_group_name_Hall 'F -4 2 3'
_cell_length_a 6.979
_cell_length_b 6.979
_cell_length_c 6.979
_cell_angle_alpha 90.00
_cell_angle_beta 90.00
_cell_angle_gamma 90.00
loop_
_atom_site_label
_atom_site_type_symbol
_atom_site_fract_x
_atom_site_fract_y
_atom_site_fract_z
Li1 Li 0.000 0.000 0.000
Sm1 Sm 0.250 0.250 0.750
Ni1 Ni 0.126 0.126 0.374
```

---

Entry 3:
# Ru2PbCl

An optimized crystal structure of Ru2PbCl (GGA-PBE, Alexandria via LeMat-Bulk).

- Relative energy among the computed polymorphs: 633.7 meV per atom
- DOS at the Fermi energy: 1.500 states/eV per atom
- Volume: 145.2 Å³ per cell
- Size of the total moment: 0.0265 μB/atom

Cell and atoms, written as CIF:
```
data_Ru2PbCl
_chemical_formula_sum 'Ru4 Pb2 Cl2'
_space_group_name_H-M_alt 'C m m m'
_space_group_IT_number 65
_space_group_name_Hall '-C 2 2'
_cell_length_a 3.096
_cell_length_b 5.528
_cell_length_c 8.489
_cell_angle_alpha 90.00
_cell_angle_beta 90.00
_cell_angle_gamma 90.00
loop_
_atom_site_label
_atom_site_type_symbol
_atom_site_fract_x
_atom_site_fract_y
_atom_site_fract_z
Ru1 Ru 0.000 0.000 0.238
Pb1 Pb 0.000 0.500 0.500
Cl1 Cl 0.000 0.500 0.000
```

---

Entry 4:
# Ac2BiPd6Pb3

An optimized crystal structure of Ac2BiPd6Pb3 (GGA-PBE, Alexandria via LeMat-Bulk).

- DOS at the Fermi energy: 0.692 states/eV per atom
- Volume: 326.4 Å³ per cell
- Size of the total moment: 0.0000 μB/atom
- Formation energy from the elements: -0.3131 eV/atom

Cell and atoms, written as CIF:
```
data_Ac2BiPd6Pb3
_chemical_formula_sum 'Ac2 Bi1 Pd6 Pb3'
_space_group_name_H-M_alt 'P 4/m m m'
_space_group_IT_number 123
_space_group_name_Hall '-P 4 2'
_cell_length_a 4.291
_cell_length_b 4.291
_cell_length_c 17.730
_cell_angle_alpha 90.00
_cell_angle_beta 90.00
_cell_angle_gamma 90.00
loop_
_atom_site_label
_atom_site_type_symbol
_atom_site_fract_x
_atom_site_fract_y
_atom_site_fract_z
Ac1 Ac 0.000 0.000 0.189
Bi1 Bi 0.000 0.000 0.500
Pd1 Pd 0.000 0.500 0.401
Pd2 Pd 0.500 0.500 0.149
Pb1 Pb 0.500 0.500 0.000
Pb2 Pb 0.500 0.500 0.305
```

---

> Which value of size of the total moment does entry 3 give?

0.0265 μB/atom

---

> Which of these has the lowest DOS at the Fermi energy?

Ac2BiPd6Pb3

---

> What is the volume in the fourth record?

326.4 Å³ per cell

---

Repeat the second record exactly.
# LiSmNi4

An optimized crystal structure of LiSmNi4 (GGA-PBE, Alexandria via LeMat-Bulk).

- DOS at the Fermi energy: 0.953 states/eV per atom
- Volume: 339.9 Å³ per cell
- Size of the total moment: 0.0000 μB/atom
- Formation energy from the elements: -0.2942 eV/atom

Cell and atoms, written as CIF:
```
data_LiSmNi4
_chemical_formula_sum 'Li4 Sm4 Ni16'
_space_group_name_H-M_alt 'F -4 3 m'
_space_group_IT_number 216
_space_group_name_Hall 'F -4 2 3'
_cell_length_a 6.979
_cell_length_b 6.979
_cell_length_c 6.979
_cell_angle_alpha 90.00
_cell_angle_beta 90.00
_cell_angle_gamma 90.00
loop_
_atom_site_label
_atom_site_type_symbol
_atom_site_fract_x
_atom_site_fract_y
_atom_site_fract_z
Li1 Li 0.000 0.000 0.000
Sm1 Sm 0.250 0.250 0.750
Ni1 Ni 0.126 0.126 0.374
```